(1)
The following is a DFT calculation (meta-GGA SCAN) of MgB6H14O17 at its PBEsol-relaxed geometry.

Its crystal system is monoclinic. Its density is 1.93 g cm⁻³. The volume comes out at 8.487 Å³ per atom. For the uncorrected energy, the calculation gives -1089.87 eV per cell.

Lattice parameters (Å, degrees): 9.9289 11.1823 12.4123 110.59 90.00 90.00
With the nearest neighbours (Å) after each atom.
Positions (direct):
O (0.6520, 0.7324, 0.8374)  2 B 1.37-1.48
H (0.6877, 0.0717, 0.3900)  1 O 1.00
O (0.8617, 0.0270, 0.6950)  2 B 1.38-1.46
Mg (0.5000, 0.0000, 0.5000)  6 O 2.06-2.14
O (0.1520, 0.7676, 0.1626)  2 B 1.37-1.48
H (0.3590, 0.2731, 0.3211)  1 O 0.99
O (0.6313, 0.8454, 0.4081)  2 H 0.99-1.00
O (0.1383, 0.9730, 0.3050)  2 B 1.38-1.46
H (0.8123, 0.5717, 0.3900)  1 O 1.00
O (0.5309, 0.8768, 0.1769)  1 H 1.01
O (0.2299, 0.5053, 0.7537)  2 B 1.37-1.46
O (0.8687, 0.3454, 0.4081)  2 H 0.99-1.00
O (0.8584, 0.4549, 0.9246)  1 H 1.02
O (0.7400, 0.7797, 0.1090)  2 B 1.38-1.44
B (0.5788, 0.8392, 0.8969)  3 O 1.37
B (0.8714, 0.0190, 0.2302)  4 O 1.46-1.53
O (0.1526, 0.3913, 0.5299)  2 H 1.00
B (0.9020, 0.1017, 0.8124)  4 O 1.44-1.52
H (0.2743, 0.4918, 0.1054)  1 O 1.01
B (0.0525, 0.0610, 0.3799)  3 O 1.36-1.38
O (0.4478, 0.8335, 0.9297)  2 B 1.37-1.46
H (0.2002, 0.4876, 0.3409)  1 O 1.01
O (0.3984, 0.0093, 0.3546)  2 H 1.01-1.02
O (0.3480, 0.2676, 0.1626)  2 B 1.37-1.48
O (0.4073, 0.6169, 0.4916)  1 H 1.01
B (0.8311, 0.3841, 0.1788)  3 O 1.37-1.38
O (0.9478, 0.6665, 0.0703)  2 B 1.37-1.46
O (0.9318, 0.0918, 0.3408)  2 B 1.38-1.46
H (0.7257, 0.5082, 0.8946)  1 O 1.01
O (0.0546, 0.1094, 0.8172)  3 B 1.50-1.53
O (0.6526, 0.1087, 0.4701)  2 H 1.00
O (0.8480, 0.2324, 0.8374)  2 B 1.37-1.48
O (0.6340, 0.5473, 0.8974)  1 H 1.01
Mg (0.0000, 0.5000, 0.5000)  6 O 2.06-2.14
O (0.4691, 0.1232, 0.8231)  1 H 1.01
H (0.6851, 0.2984, 0.9307)  1 O 0.99
H (0.1164, 0.6666, 0.3780)  1 O 1.01
O (0.3991, 0.6826, 0.0234)  1 H 0.99
H (0.7743, 0.0082, 0.8946)  1 O 1.01
H (0.3912, 0.2470, 0.6120)  1 O 1.00
H (0.7284, 0.1567, 0.5187)  1 O 1.00
H (0.7756, 0.3574, 0.4389)  1 O 0.99
O (0.9454, 0.8906, 0.1828)  3 B 1.50-1.53
O (0.6009, 0.3174, 0.9766)  1 H 0.99
B (0.5980, 0.6017, 0.8124)  4 O 1.44-1.52
O (0.2600, 0.2203, 0.8910)  2 B 1.38-1.44
O (0.2701, 0.0053, 0.7537)  2 B 1.37-1.46
O (0.1131, 0.9211, 0.8561)  1 H 0.99
H (0.4910, 0.7965, 0.1198)  1 O 1.01
O (0.0309, 0.6232, 0.8231)  1 H 1.01
H (0.7002, 0.0124, 0.6591)  1 O 1.01
O (0.6131, 0.5789, 0.1439)  1 H 0.99
H (0.8836, 0.3334, 0.6220)  1 O 1.01
H (0.6410, 0.7269, 0.6789)  1 O 0.99
B (0.3311, 0.1159, 0.8212)  3 O 1.37-1.38
O (0.3869, 0.4211, 0.8561)  1 H 0.99
O (0.1277, 0.7613, 0.3956)  2 H 0.99-1.01
H (0.4471, 0.9588, 0.2800)  1 O 1.02
B (0.4475, 0.5610, 0.3799)  3 O 1.36-1.38
O (0.8474, 0.6087, 0.4701)  2 H 1.00
H (0.2998, 0.9876, 0.3409)  1 O 1.01
H (0.1851, 0.2016, 0.0693)  1 O 0.99
H (0.3836, 0.1666, 0.3780)  1 O 1.01
H (0.2284, 0.3433, 0.4813)  1 O 1.00
B (0.0788, 0.6608, 0.1031)  3 O 1.37
O (0.3687, 0.1546, 0.5919)  2 H 0.99-1.00
O (0.3617, 0.4730, 0.3050)  2 B 1.38-1.46
H (0.9471, 0.5412, 0.7200)  1 O 1.02
O (0.5927, 0.3831, 0.5084)  1 H 1.01
B (0.4212, 0.1608, 0.1031)  3 O 1.37
H (0.9018, 0.5354, 0.9800)  1 O 1.02
H (0.0982, 0.4646, 0.0200)  1 O 1.02
O (0.5546, 0.3906, 0.1828)  3 B 1.50-1.53
H (0.7998, 0.5124, 0.6591)  1 O 1.01
B (0.6286, 0.5190, 0.2302)  4 O 1.46-1.53
O (0.7701, 0.4947, 0.2463)  2 B 1.37-1.46
O (0.0522, 0.3335, 0.9297)  2 B 1.37-1.46
B (0.3714, 0.4810, 0.7698)  4 O 1.46-1.53
O (0.7600, 0.2797, 0.1090)  2 B 1.38-1.44
O (0.6016, 0.9907, 0.6454)  2 H 1.01-1.02
H (0.7244, 0.8574, 0.4389)  1 O 0.99
O (0.1009, 0.1826, 0.0234)  1 H 0.99
H (0.3216, 0.3544, 0.8568)  1 O 0.99
H (0.6164, 0.8334, 0.6220)  1 O 1.01
B (0.1689, 0.6159, 0.8212)  3 O 1.37-1.38
H (0.5090, 0.2035, 0.8802)  1 O 1.01
H (0.0180, 0.1708, 0.5398)  1 O 1.01
H (0.1410, 0.7731, 0.3211)  1 O 0.99
O (0.4454, 0.6094, 0.8172)  3 B 1.50-1.53
O (0.7299, 0.9947, 0.2463)  2 B 1.37-1.46
O (0.2400, 0.7203, 0.8910)  2 B 1.38-1.44
H (0.4820, 0.6708, 0.5398)  1 O 1.01
B (0.8805, 0.7874, 0.0842)  4 O 1.44-1.50
Mg (0.0000, 0.0000, 0.0000)  6 O 2.03-2.20
B (0.5525, 0.4390, 0.6201)  3 O 1.36-1.38
O (0.1016, 0.5093, 0.3546)  2 H 1.01-1.02
O (0.1416, 0.5451, 0.0754)  1 H 1.02
O (0.0682, 0.9082, 0.6592)  2 B 1.38-1.46
O (0.6383, 0.5270, 0.6950)  2 B 1.38-1.46
H (0.3123, 0.9283, 0.6100)  1 O 1.00
O (0.3584, 0.0451, 0.0754)  1 H 1.02
H (0.6088, 0.7530, 0.3880)  1 O 1.00
H (0.5529, 0.0412, 0.7200)  1 O 1.02
H (0.2244, 0.6426, 0.5611)  1 O 0.99
B (0.6195, 0.2874, 0.0842)  4 O 1.44-1.50
O (0.1340, 0.9527, 0.1026)  1 H 1.01
H (0.4018, 0.9646, 0.0200)  1 O 1.02
O (0.8660, 0.0473, 0.8974)  1 H 1.01
B (0.9212, 0.3392, 0.8969)  3 O 1.37
H (0.1088, 0.7470, 0.6120)  1 O 1.00
H (0.9820, 0.8292, 0.4602)  1 O 1.01
O (0.3660, 0.4527, 0.1026)  1 H 1.01
O (0.0927, 0.1169, 0.4916)  1 H 1.01
O (0.6276, 0.7387, 0.6044)  2 H 0.99-1.01
H (0.1784, 0.8544, 0.8568)  1 O 0.99
H (0.9910, 0.7035, 0.8802)  1 O 1.01
O (0.8984, 0.4907, 0.6454)  2 H 1.01-1.02
O (0.3724, 0.2613, 0.3956)  2 H 0.99-1.01
H (0.0529, 0.4588, 0.2800)  1 O 1.02
O (0.6416, 0.9549, 0.9246)  1 H 1.02
H (0.5180, 0.3292, 0.4602)  1 O 1.01
O (0.8724, 0.2387, 0.6044)  2 H 0.99-1.01
O (0.9691, 0.3768, 0.1769)  1 H 1.01
H (0.1877, 0.4283, 0.6100)  1 O 1.00
O (0.8869, 0.0789, 0.1439)  1 H 0.99
B (0.3805, 0.7126, 0.9158)  4 O 1.44-1.50
B (0.1286, 0.9810, 0.7698)  4 O 1.46-1.53
O (0.5522, 0.1665, 0.0703)  2 B 1.37-1.46
H (0.2756, 0.1426, 0.5611)  1 O 0.99
H (0.8216, 0.1456, 0.1432)  1 O 0.99
H (0.0090, 0.2965, 0.1198)  1 O 1.01
Mg (0.5000, 0.5000, 0.0000)  6 O 2.03-2.20
B (0.9475, 0.9390, 0.6201)  3 O 1.36-1.38
O (0.9073, 0.8831, 0.5084)  1 H 1.01
O (0.3474, 0.8913, 0.5299)  2 H 1.00
H (0.2716, 0.8433, 0.4813)  1 O 1.00
H (0.5982, 0.0354, 0.9800)  1 O 1.02
H (0.8912, 0.2530, 0.3880)  1 O 1.00
B (0.0980, 0.8983, 0.1876)  4 O 1.44-1.52
H (0.8149, 0.7984, 0.9307)  1 O 0.99
O (0.8991, 0.8174, 0.9766)  1 H 0.99
O (0.4318, 0.4082, 0.6592)  2 B 1.38-1.46
O (0.5682, 0.5918, 0.3408)  2 B 1.38-1.46
H (0.7716, 0.6567, 0.5187)  1 O 1.00
H (0.8590, 0.2269, 0.6789)  1 O 0.99
B (0.4020, 0.3983, 0.1876)  4 O 1.44-1.52
H (0.2257, 0.9918, 0.1054)  1 O 1.01
H (0.6784, 0.6456, 0.1432)  1 O 0.99
O (0.1313, 0.6546, 0.5919)  2 H 0.99-1.00
B (0.1195, 0.2126, 0.9158)  4 O 1.44-1.50
H (0.3149, 0.7016, 0.0693)  1 O 0.99
B (0.6689, 0.8841, 0.1788)  3 O 1.37-1.38

***

(2)
The following is a DFT calculation (meta-GGA SCAN) of KI2O6 at its PBEsol-relaxed geometry.

The formation energy without anion corrections is -0.59 eV/atom. Its crystal system is orthorhombic. Its density is 4.45 g cm⁻³. The volume comes out at 16.124 Å³ per atom. For the uncorrected energy, the calculation gives -746.90 eV per cell.

Lattice parameters (Å, degrees): 6.8358 6.8358 20.3056 96.23 96.23 110.80
With the nearest neighbours (Å) after each atom.
Positions (direct):
O (0.8263, 0.6304, 0.5218)  1 I 1.91
O (0.9637, 0.1561, 0.3023)  1 I 1.89
O (0.4114, 0.1039, 0.1977)  1 I 1.89
O (0.6840, 0.3307, 0.8984)  1 I 1.84
O (0.6032, 0.7727, 0.3374)  1 I 1.84
K (0.5140, 0.4860, 0.0000)  8 O 2.77-2.91
O (0.9269, 0.8702, 0.9113)  1 I 1.80
O (0.8961, 0.5886, 0.8023)  1 I 1.89
I (0.8200, 0.8150, 0.5987)  3 O 1.83-1.91
I (0.1287, 0.0857, 0.1779)  3 O 1.80-1.89
O (0.3824, 0.0387, 0.9742)  1 I 1.89
O (0.0162, 0.2674, 0.8435)  1 I 1.83
O (0.6414, 0.9455, 0.0218)  1 I 1.91
O (0.7422, 0.4289, 0.3045)  1 I 1.85
K (0.4115, 0.3835, 0.7992)  7 O 2.67-2.94
O (0.1877, 0.3744, 0.1955)  1 I 1.85
O (0.7656, 0.2090, 0.5887)  1 I 1.80
I (0.7100, 0.6552, 0.4026)  3 O 1.84-1.89
I (0.8422, 0.2992, 0.6779)  3 O 1.80-1.89
O (0.0545, 0.3586, 0.9782)  1 I 1.91
O (0.2273, 0.3968, 0.6626)  1 I 1.84
K (0.3623, 0.8343, 0.7008)  7 O 2.67-2.94
O (0.9946, 0.8022, 0.4006)  1 I 1.85
O (0.3484, 0.6560, 0.9006)  1 I 1.85
O (0.6693, 0.3160, 0.1016)  1 I 1.84
O (0.6855, 0.8417, 0.4742)  1 I 1.89
O (0.5356, 0.6823, 0.6016)  1 I 1.84
O (0.9227, 0.6739, 0.6565)  1 I 1.83
O (0.8439, 0.0363, 0.6977)  1 I 1.89
O (0.3440, 0.6516, 0.0994)  1 I 1.85
O (0.5711, 0.2578, 0.6955)  1 I 1.85
K (0.2640, 0.7360, 0.5000)  8 O 2.77-2.91
I (0.9712, 0.4663, 0.9013)  3 O 1.83-1.91
O (0.1583, 0.3145, 0.5258)  1 I 1.89
O (0.9613, 0.6176, 0.0258)  1 I 1.89
I (0.9143, 0.8713, 0.8221)  3 O 1.80-1.89
O (0.3148, 0.9842, 0.8374)  1 I 1.84
O (0.1978, 0.0054, 0.5994)  1 I 1.85
O (0.3177, 0.4644, 0.3984)  1 I 1.84
I (0.0574, 0.5026, 0.0974)  3 O 1.84-1.89
O (0.3261, 0.0773, 0.3435)  1 I 1.83
K (0.6165, 0.5885, 0.2008)  7 O 2.67-2.94
O (0.7910, 0.2344, 0.4113)  1 I 1.80
O (0.1298, 0.0731, 0.0887)  1 I 1.80
I (0.5337, 0.0288, 0.0987)  3 O 1.83-1.91
K (0.1657, 0.6377, 0.2992)  7 O 2.67-2.94
O (0.3696, 0.1737, 0.4782)  1 I 1.91
O (0.6256, 0.8123, 0.8045)  1 I 1.85
I (0.4974, 0.9426, 0.9026)  3 O 1.84-1.89
I (0.1850, 0.1800, 0.4013)  3 O 1.83-1.91
O (0.7326, 0.9838, 0.1565)  1 I 1.83
O (0.0158, 0.6852, 0.1626)  1 I 1.84
I (0.7008, 0.1578, 0.3221)  3 O 1.80-1.89
I (0.3448, 0.2900, 0.5974)  3 O 1.84-1.89

***

Question: Among the records above, which one has the highest volume?
Answer: KI2O6

***

Question: The highest volume belongs to which entry?
Answer: KI2O6

***

Question: Number 1 is which compound?
Answer: MgB6H14O17